A geometry-optimized Ba2HfTe3O12 structure, computed with PBE.

As for the uncorrected formation energy: -3181 kJ/mol of formula units. Its total energy is -6.43 eV per atom. The total magnetization is 0.0000 μB per atom. Its space group is No. 166. The theoretical density is 5.6 Mg/m³.

abc: 7.517 7.517 7.517
angles: 60.51 60.51 60.51
Fractional coordinates of all 18 atoms:
1 O 0.328 0.927 0.927
2 Te 0.000 0.500 0.000
3 Te 0.000 0.000 0.500
4 O 0.073 0.672 0.073
5 O 0.056 0.680 0.680
6 O 0.320 0.944 0.320
7 O 0.073 0.073 0.672
8 O 0.680 0.680 0.056
9 Hf 0.000 0.000 0.000
10 O 0.944 0.320 0.320
11 Ba 0.326 0.326 0.326
12 O 0.680 0.056 0.680
13 O 0.927 0.927 0.328
14 O 0.320 0.320 0.944
15 O 0.927 0.328 0.927
16 Te 0.500 0.000 0.000
17 Ba 0.674 0.674 0.674
18 O 0.672 0.073 0.073


A geometry-optimized Ba3Hf2ThO9 structure, computed with PBE.

As for the uncorrected formation energy: -4821 kJ/mol of formula units. Its total energy is -8.51 eV per atom. The total magnetization is 0.0000 μB per atom. Its space group is No. 164. The theoretical density is 7.8 Mg/m³.

abc: 6.105 6.105 7.557
angles: 90.00 90.00 120.00
Fractional coordinates of all 15 atoms:
1 O 0.347 0.174 0.682
2 O 0.500 0.500 0.000
3 Ba 0.000 0.000 0.000
4 O 0.000 0.500 0.000
5 O 0.826 0.653 0.682
6 Ba 0.333 0.667 0.682
7 O 0.653 0.826 0.318
8 O 0.500 0.000 0.000
9 O 0.174 0.826 0.318
10 O 0.826 0.174 0.682
11 Ba 0.667 0.333 0.318
12 Th 0.000 0.000 0.500
13 Hf 0.667 0.333 0.841
14 O 0.174 0.347 0.318
15 Hf 0.333 0.667 0.159


A geometry-optimized Ba3Hf2TiO9 structure, computed with PBE.

As for the uncorrected formation energy: -4719 kJ/mol of formula units. Its total energy is -8.47 eV per atom. The total magnetization is 0.0000 μB per atom. Its space group is No. 164. The theoretical density is 7.5 Mg/m³.

abc: 5.861 5.861 7.183
angles: 90.00 90.00 120.00
Fractional coordinates of all 15 atoms:
1 Ba 0.667 0.333 0.337
2 O 0.837 0.163 0.661
3 Ba 0.000 0.000 0.000
4 O 0.000 0.500 0.000
5 O 0.325 0.163 0.661
6 Hf 0.667 0.333 0.829
7 Ba 0.333 0.667 0.663
8 O 0.837 0.675 0.661
9 O 0.500 0.000 0.000
10 O 0.163 0.837 0.339
11 O 0.675 0.837 0.339
12 Ti 0.000 0.000 0.500
13 O 0.163 0.325 0.339
14 Hf 0.333 0.667 0.171
15 O 0.500 0.500 0.000


A geometry-optimized Ba3Hf2TlO9 structure, computed with PBE.

As for the uncorrected formation energy: -3849 kJ/mol of formula units. Its total energy is -7.50 eV per atom. The total magnetization is 0.0505 μB per atom. Its space group is No. 164. The theoretical density is 7.9 Mg/m³.

abc: 6.040 6.040 7.425
angles: 90.00 90.00 120.00
Fractional coordinates of all 15 atoms:
1 O 0.174 0.826 0.322
2 O 0.500 0.000 0.000
3 O 0.000 0.500 0.000
4 O 0.826 0.652 0.678
5 O 0.826 0.174 0.678
6 O 0.652 0.826 0.322
7 Ba 0.333 0.667 0.659
8 Ba 0.667 0.333 0.341
9 O 0.174 0.348 0.322
10 O 0.348 0.174 0.678
11 Ba 0.000 0.000 0.000
12 Hf 0.667 0.333 0.840
13 Hf 0.333 0.667 0.160
14 O 0.500 0.500 0.000
15 Tl 0.000 0.000 0.500


A geometry-optimized BaHfUO6 structure, computed with PBE.

As for the uncorrected formation energy: -2856 kJ/mol of formula units. Its total energy is -9.17 eV per atom. The total magnetization is 0.0000 μB per atom. Its space group is No. 163. The theoretical density is 6.8 Mg/m³.

abc: 5.695 5.695 11.291
angles: 90.00 90.00 120.00
Fractional coordinates of all 18 atoms:
1 Hf 0.333 0.667 0.250
2 U 0.333 0.667 0.750
3 O 0.618 0.618 0.651
4 Hf 0.667 0.333 0.750
5 O 0.382 0.000 0.151
6 O 0.382 0.382 0.849
7 O 0.382 0.000 0.651
8 O 0.000 0.618 0.849
9 O 0.000 0.382 0.651
10 O 0.000 0.382 0.151
11 O 0.618 0.618 0.151
12 Ba 0.000 0.000 0.000
13 O 0.000 0.618 0.349
14 O 0.618 0.000 0.349
15 U 0.667 0.333 0.250
16 Ba 0.000 0.000 0.500
17 O 0.618 0.000 0.849
18 O 0.382 0.382 0.349


A geometry-optimized BaHf2UO8 structure, computed with PBE.

As for the uncorrected formation energy: -3710 kJ/mol of formula units. Its total energy is -9.27 eV per atom. The total magnetization is 0.0000 μB per atom. Its space group is No. 12. The theoretical density is 7.0 Mg/m³.

abc: 5.315 5.316 7.600
angles: 80.69 80.70 78.17
Fractional coordinates of all 12 atoms:
1 O 0.244 0.243 0.928
2 O 0.780 0.226 0.207
3 O 0.343 0.342 0.505
4 O 0.775 0.220 0.793
5 O 0.220 0.774 0.793
6 U 0.000 0.000 0.000
7 O 0.756 0.757 0.072
8 Hf 0.550 0.550 0.285
9 O 0.225 0.780 0.207
10 Hf 0.450 0.450 0.715
11 O 0.657 0.658 0.495
12 Ba 0.000 0.000 0.500


A geometry-optimized Ba2HfU3O12 structure, computed with PBE.

As for the uncorrected formation energy: -5503 kJ/mol of formula units. Its total energy is -9.12 eV per atom. The total magnetization is 0.1111 μB per atom. Its space group is No. 166. The theoretical density is 6.5 Mg/m³.

abc: 7.767 7.767 7.767
angles: 61.90 61.90 61.90
Fractional coordinates of all 18 atoms:
1 O 0.314 0.934 0.934
2 U 0.000 0.000 0.500
3 O 0.066 0.686 0.066
4 U 0.000 0.500 0.000
5 Ba 0.319 0.319 0.319
6 O 0.323 0.959 0.323
7 O 0.959 0.323 0.323
8 O 0.686 0.066 0.066
9 Ba 0.681 0.681 0.681
10 O 0.677 0.041 0.677
11 O 0.677 0.677 0.041
12 O 0.066 0.066 0.686
13 O 0.323 0.323 0.959
14 O 0.934 0.934 0.314
15 Hf 0.000 0.000 0.000
16 O 0.041 0.677 0.677
17 U 0.500 0.000 0.000
18 O 0.934 0.314 0.934